{
  "formula": "Zr2RhPb",
  "functional": "PBE",
  "state": "relaxed",
  "lattice": [[3.171, 0.000, 0.000], [0.000, 3.171, 0.000], [0.000, 0.000, 8.316]],
  "species": ["Zr", "Zr", "Rh", "Pb"],
  "frac_coords": [[0.000, 0.000, 0.213], [0.000, 0.000, 0.787], [0.500, 0.500, 0.000], [0.500, 0.500, 0.500]],
  "space_group": "No. 123",
  "dos_at_fermi_per_ev_cell": 5.09,
  "formation_enthalpy_0k_ev_per_atom": -0.396,
  "e_tot_ev_per_cell": -29.7
}